1.
Below is crystalline VSeN2F at its relaxed geometry, with properties calculated at the PBE+U level.

Structure (POSCAR):
```
VSeN2F
1.0
-1.040 -3.702 -1.241
-0.299 -1.205 3.845
-3.854 1.071 0.036
N F Se V
2 1 1 1
direct
0.000 0.500 0.000
0.500 0.000 0.000
0.000 0.000 0.000
0.000 0.000 0.500
0.500 0.500 0.500
```

Summary:
SG: No. 123
Energy in eV for the cell shown: -20.29
ρ in Mg/m³: 4.50
Energy relative to the lowest polymorph listed for this composition in meV/atom: 1430.7
Magnetic moment in μB per atom: 0.1189

=====

2.
Below is crystalline VSeN2F at its relaxed geometry, with properties calculated at the PBE+U level.

Structure (POSCAR):
```
VSeN2F
1.0
3.923 0.000 0.000
0.000 3.923 0.000
0.000 0.000 4.015
N F Se V
2 1 1 1
direct
0.000 0.500 0.000
0.500 0.000 0.000
0.000 0.000 0.500
0.000 0.000 0.000
0.500 0.500 0.500
```

Summary:
SG: No. 123
Energy in eV for the cell shown: -24.13
ρ in Mg/m³: 4.75
Energy relative to the lowest polymorph listed for this composition in meV/atom: 663.9
Magnetic moment in μB per atom: 0.3056

=====

3.
Below is crystalline VSeN2F at its relaxed geometry, with properties calculated at the PBE+U level.

Structure (POSCAR):
```
VSeN2F
1.0
-0.101 -1.169 3.495
1.880 -3.024 -0.957
4.493 2.489 0.962
N F Se V
2 1 1 1
direct
0.000 0.500 0.000
0.500 0.000 0.000
0.500 0.500 0.500
0.000 0.000 0.500
0.000 0.000 0.000
```

Summary:
SG: No. 123
Energy in eV for the cell shown: -26.46
ρ in Mg/m³: 4.14
Energy relative to the lowest polymorph listed for this composition in meV/atom: 196.7
Magnetic moment in μB per atom: 0.0811

=====

4.
Below is crystalline WSe2NF at its relaxed geometry, with properties calculated at the PBE+U level.

Structure (POSCAR):
```
WSe2NF
1.0
-3.366 3.569 1.238
-2.230 -0.538 -4.511
-2.341 -2.722 1.482
N Se W F
1 2 1 1
direct
0.000 0.000 0.500
0.000 0.500 0.000
0.500 0.000 0.000
0.000 0.000 0.000
0.500 0.500 0.500
```

Summary:
SG: No. 123
Energy in eV for the cell shown: -22.93
ρ in Mg/m³: 6.26
Energy relative to the lowest polymorph listed for this composition in meV/atom: 0.0
Magnetic moment in μB per atom: 0.4013